A plane-wave DFT calculation with PBE was carried out for Ba2Zn3In4Ga after structural relaxation.

Unit cell a=4.764 b=4.764 c=11.638 alpha=90.00 beta=90.00 gamma=90.00
Positions (direct):
Ba 0.500 0.000 0.256
Ba 0.000 0.500 0.744
Zn 0.000 0.000 0.500
Zn 0.500 0.000 0.864
Zn 0.000 0.500 0.136
In 0.500 0.500 0.000
In 0.000 0.000 0.000
In 0.500 0.000 0.629
In 0.000 0.500 0.371
Ga 0.500 0.500 0.500

## Properties
DOS(E_F)   4.3 states/eV per cell
Formation energy from the elements   -0.3257 eV per atom
Density   6.29 g/cm³
Volume   26.42 Å³/atom
Electronic total energy   -24.9 eV/cell

=====

A plane-wave DFT calculation with PBE was carried out for Pm2CdAs4Pd3 after structural relaxation.

Unit cell a=4.278 b=4.278 c=11.103 alpha=90.00 beta=90.00 gamma=90.00
Positions (direct):
Pm 0.500 0.000 0.245
Pm 0.000 0.500 0.755
Cd 0.500 0.500 0.500
As 0.500 0.500 0.000
As 0.000 0.000 0.000
As 0.500 0.000 0.650
As 0.000 0.500 0.350
Pd 0.000 0.000 0.500
Pd 0.500 0.000 0.870
Pd 0.000 0.500 0.130

## Properties
DOS(E_F)   4.2 states/eV per cell
Formation energy from the elements   -0.7321 eV per atom
Density   8.35 g/cm³
Volume   20.32 Å³/atom
Electronic total energy   -51.9 eV/cell

=====

A plane-wave DFT calculation with PBE was carried out for Sm2Ge3IrPt4 after structural relaxation.

Unit cell a=4.217 b=4.217 c=10.752 alpha=90.00 beta=90.00 gamma=90.00
Positions (direct):
Sm 0.500 0.000 0.255
Sm 0.000 0.500 0.745
Ge 0.000 0.000 0.500
Ge 0.500 0.000 0.869
Ge 0.000 0.500 0.131
Ir 0.500 0.500 0.500
Pt 0.500 0.500 0.000
Pt 0.000 0.000 0.000
Pt 0.500 0.000 0.645
Pt 0.000 0.500 0.355

## Properties
DOS(E_F)   7.9 states/eV per cell
Formation energy from the elements   -0.7578 eV per atom
Density   12.95 g/cm³
Volume   19.12 Å³/atom
Electronic total energy   -63.9 eV/cell